Record 1
A plane-wave DFT calculation with meta-GGA SCAN was carried out for a PBEsol-optimized structure of CsNaTiO3.

```
data_CsNaTiO3
_cell_length_a 5.9878
_cell_length_b 11.1603
_cell_length_c 5.6017
_cell_angle_alpha 90.00
_cell_angle_beta 90.00
_cell_angle_gamma 90.00
_space_group_name_H-M_alt 'C m c m'
_space_group_IT_number 63
_space_group_name_Hall '-C 2c 2'
loop_
_atom_site_label
_atom_site_type_symbol
_atom_site_fract_x
_atom_site_fract_y
_atom_site_fract_z
Cs1 Cs 0.0000 0.2331 0.2500
Na1 Na 0.0000 0.0740 0.7500
Ti1 Ti 0.0000 0.4513 0.7500
O1 O 0.0000 0.2935 0.7500
O2 O 0.2121 0.5000 0.0000
```

Properties
Uncorrected formation energy   -2.657 eV/atom
Density of states at the Fermi level   0.0 states/eV/cell
Calculated total energy   -15.45 eV per atom
M_tot   0.0 Bohr magnetons per cell

***

Record 2
A plane-wave DFT calculation with meta-GGA SCAN was carried out for a PBEsol-optimized structure of Cs2Na3TlO4.

```
data_Cs2Na3TlO4
_cell_length_a 6.4152
_cell_length_b 10.0679
_cell_length_c 12.5616
_cell_angle_alpha 90.00
_cell_angle_beta 110.54
_cell_angle_gamma 90.00
_space_group_name_H-M_alt 'P 1 21/c 1'
_space_group_IT_number 14
loop_
_space_group_symop_operation_xyz
'x,y,z'
'-x,-y,-z'
'-x,y+1/2,-z+1/2'
'x,-y+1/2,z+1/2'
loop_
_atom_site_label
_atom_site_type_symbol
_atom_site_fract_x
_atom_site_fract_y
_atom_site_fract_z
Cs1 Cs 0.2075 0.2219 0.1061
Cs2 Cs 0.2306 0.9998 0.8632
Na1 Na 0.1100 0.7478 0.1970
Na2 Na 0.1385 0.0079 0.4316
Na3 Na 0.4145 0.5270 0.7960
Tl1 Tl 0.4026 0.7216 0.0637
O1 O 0.2337 0.5599 0.1234
O2 O 0.2501 0.1801 0.3444
O3 O 0.2771 0.6929 0.8811
O4 O 0.2775 0.5925 0.6071
```

Properties
Uncorrected formation energy   -1.315 eV/atom
Density of states at the Fermi level   0.0 states/eV/cell
Calculated total energy   -19.87 eV per atom
M_tot   0.0 Bohr magnetons per cell

***

Record 3
A plane-wave DFT calculation with meta-GGA SCAN was carried out for a PBEsol-optimized structure of CsNa2P2.

```
data_CsNa2P2
_cell_length_a 8.2166
_cell_length_b 8.2166
_cell_length_c 3.8534
_cell_angle_alpha 90.00
_cell_angle_beta 90.00
_cell_angle_gamma 90.00
_space_group_name_H-M_alt 'P 4/m b m'
_space_group_IT_number 127
_space_group_name_Hall '-P 4 2ab'
loop_
_atom_site_label
_atom_site_type_symbol
_atom_site_fract_x
_atom_site_fract_y
_atom_site_fract_z
Cs1 Cs 0.0000 0.0000 0.0000
Na1 Na 0.1532 0.3468 0.0000
P1 P 0.0960 0.5960 0.5000
```

Properties
Density of states at the Fermi level   2.6 states/eV/cell
Calculated total energy   -13.65 eV per atom
ΔH_f (0 K)   -0.2458 eV/atom
M_tot   0.0 Bohr magnetons per cell

***

Record 4
A plane-wave DFT calculation with meta-GGA SCAN was carried out for a PBEsol-optimized structure of CsNa2P2.

```
data_CsNa2P2
_cell_length_a 5.1802
_cell_length_b 5.1802
_cell_length_c 9.7549
_cell_angle_alpha 90.00
_cell_angle_beta 90.00
_cell_angle_gamma 90.00
_space_group_name_H-M_alt 'I 4/m m m'
_space_group_IT_number 139
_space_group_name_Hall '-I 4 2'
loop_
_atom_site_label
_atom_site_type_symbol
_atom_site_fract_x
_atom_site_fract_y
_atom_site_fract_z
Cs1 Cs 0.0000 0.0000 0.0000
Na1 Na 0.0000 0.5000 0.2500
P1 P 0.0000 0.0000 0.3900
```

Properties
Density of states at the Fermi level   5.1 states/eV/cell
Calculated total energy   -13.84 eV per atom
ΔH_f (0 K)   -0.4371 eV/atom
M_tot   1.6 Bohr magnetons per cell

***

Record 5
A plane-wave DFT calculation with meta-GGA SCAN was carried out for a PBEsol-optimized structure of CsNaSb2P.

```
data_CsNaSb2P
_cell_length_a 5.4758
_cell_length_b 5.4758
_cell_length_c 5.2295
_cell_angle_alpha 90.00
_cell_angle_beta 90.00
_cell_angle_gamma 90.00
_space_group_name_H-M_alt 'P 4/m m m'
_space_group_IT_number 123
_space_group_name_Hall '-P 4 2'
loop_
_atom_site_label
_atom_site_type_symbol
_atom_site_fract_x
_atom_site_fract_y
_atom_site_fract_z
Cs1 Cs 0.0000 0.0000 0.0000
Na1 Na 0.5000 0.5000 0.5000
Sb1 Sb 0.0000 0.5000 0.5000
P1 P 0.5000 0.5000 0.0000
```

Properties
Uncorrected formation energy   0.526 eV/atom
Density of states at the Fermi level   3.4 states/eV/cell
Calculated total energy   -24.86 eV per atom
M_tot   0.0 Bohr magnetons per cell

***

Record 6
A plane-wave DFT calculation with meta-GGA SCAN was carried out for a PBEsol-optimized structure of Cs2NaTcPd.

```
data_Cs2NaTcPd
_cell_length_a 5.9281
_cell_length_b 5.9281
_cell_length_c 4.8040
_cell_angle_alpha 90.00
_cell_angle_beta 90.00
_cell_angle_gamma 90.00
_space_group_name_H-M_alt 'P 4/m m m'
_space_group_IT_number 123
_space_group_name_Hall '-P 4 2'
loop_
_atom_site_label
_atom_site_type_symbol
_atom_site_fract_x
_atom_site_fract_y
_atom_site_fract_z
Cs1 Cs 0.0000 0.5000 0.0000
Na1 Na 0.0000 0.0000 0.5000
Tc1 Tc 0.5000 0.5000 0.0000
Pd1 Pd 0.5000 0.5000 0.5000
```

Properties
Density of states at the Fermi level   3.2 states/eV/cell
Calculated total energy   -28.48 eV per atom
ΔH_f (0 K)   1.0527 eV/atom
M_tot   0.0 Bohr magnetons per cell